[1]
This record from Alexandria via LeMat-Bulk describes NaVN2 after structural relaxation. The functional is PBE-GGA.

a b c (Å): 5.2949 5.2949 5.2949
angles (deg): 90.00 90.00 90.00
With the nearest neighbours (Å) after each atom.
Element x y z (fractional)
Na (0.0000, 0.0000, 0.0000)  8 N 2.29
Na (0.0000, 0.5000, 0.5000)  8 N 2.29
Na (0.5000, 0.0000, 0.5000)  8 N 2.29
Na (0.5000, 0.5000, 0.0000)  8 N 2.29
V (0.0000, 0.0000, 0.5000)  8 N 2.29
V (0.0000, 0.5000, 0.0000)  8 N 2.29
V (0.5000, 0.0000, 0.0000)  8 N 2.29
V (0.5000, 0.5000, 0.5000)  8 N 2.29
N (0.2500, 0.2500, 0.2500)  4 Na 2.29, 4 V 2.29
N (0.2500, 0.2500, 0.7500)  4 Na 2.29, 4 V 2.29
N (0.2500, 0.7500, 0.2500)  4 Na 2.29, 4 V 2.29
N (0.2500, 0.7500, 0.7500)  4 Na 2.29, 4 V 2.29
N (0.7500, 0.2500, 0.2500)  4 Na 2.29, 4 V 2.29
N (0.7500, 0.2500, 0.7500)  4 Na 2.29, 4 V 2.29
N (0.7500, 0.7500, 0.2500)  4 Na 2.29, 4 V 2.29
N (0.7500, 0.7500, 0.7500)  4 V 2.29, 4 Na 2.29

## Properties
- Energy: -99.34 eV per cell
- Formation energy from raw total energies: 563 meV per atom

---

[2]
This record from Alexandria via LeMat-Bulk describes Y2MgScH after structural relaxation. The functional is PBE-GGA.

a b c (Å): 4.9683 4.9683 4.5134
angles (deg): 90.00 90.00 90.00
With the nearest neighbours (Å) after each atom.
Element x y z (fractional)
Y (0.0000, 0.5000, 0.0000)  2 H 2.48
Y (0.5000, 0.0000, 0.0000)  2 H 2.48
Mg (0.0000, 0.0000, 0.5000)  8 Y 3.36, 4 Sc 3.51
Sc (0.5000, 0.5000, 0.5000)  2 H 2.26
H (0.5000, 0.5000, 0.0000)  2 Sc 2.26, 4 Y 2.48

## Properties
- Energy: -24.91 eV per cell
- Excess energy over the best structure of this formula in the dataset: 0 meV per atom

---

[3]
This record from Alexandria via LeMat-Bulk describes Ti3Mo2W4 after structural relaxation. The functional is PBE-GGA.

a b c (Å): 7.8277 7.8277 4.9152
angles (deg): 90.83 90.83 78.32
With the nearest neighbours (Å) after each atom.
Element x y z (fractional)
Ti (0.0004, 0.9996, 0.2500)  2 Ti 2.46
Ti (0.9996, 0.0004, 0.7500)  2 Ti 2.46
Ti (0.3328, 0.4622, 0.5124)  1 Mo 2.55, 2 W 2.65, 3 Ti 2.77-2.80
Ti (0.4622, 0.3328, 0.0124)  1 Mo 2.55, 2 W 2.65, 3 Ti 2.77-2.80
Ti (0.5378, 0.6672, 0.9876)  1 Mo 2.55, 2 W 2.65, 3 Ti 2.77-2.80
Ti (0.6672, 0.5378, 0.4876)  1 Mo 2.55, 2 W 2.65, 3 Ti 2.77-2.80
Mo (0.1398, 0.3186, 0.0234)  1 Ti 2.55, 4 W 2.63-2.76
Mo (0.3186, 0.1398, 0.5234)  1 Ti 2.55, 4 W 2.63-2.76
Mo (0.6814, 0.8602, 0.4766)  1 Ti 2.55, 4 W 2.63-2.76
Mo (0.8602, 0.6814, 0.9766)  1 Ti 2.55, 4 W 2.63-2.76
W (0.0166, 0.6620, 0.4800)  4 W 2.61-2.90, 2 Ti 2.65-2.87, 3 Mo 2.73-2.76
W (0.1994, 0.6663, 0.9967)  2 Mo 2.63-2.86, 2 Ti 2.65-2.93, 4 W 2.79-2.95
W (0.3337, 0.8006, 0.5033)  2 Mo 2.63-2.86, 2 Ti 2.65-2.93, 4 W 2.79-2.95
W (0.3380, 0.9834, 0.0200)  4 W 2.61-2.90, 2 Ti 2.65-2.87, 3 Mo 2.73-2.76
W (0.6620, 0.0166, 0.9800)  4 W 2.61-2.90, 2 Ti 2.65-2.87, 3 Mo 2.73-2.76
W (0.6663, 0.1994, 0.4967)  2 Mo 2.63-2.86, 2 Ti 2.65-2.93, 4 W 2.79-2.95
W (0.8006, 0.3337, 0.0033)  2 Mo 2.63-2.86, 2 Ti 2.65-2.93, 4 W 2.79-2.95
W (0.9834, 0.3380, 0.5200)  4 W 2.61-2.90, 2 Ti 2.65-2.87, 3 Mo 2.73-2.76

## Properties
- Energy: -191.65 eV per cell
- ΔE_f: 0.15 eV/atom

---

[4]
This record from Alexandria via LeMat-Bulk describes BaLaEr2 after structural relaxation. The functional is PBE-GGA.

a b c (Å): 3.7627 3.7627 10.6902
angles (deg): 90.00 90.00 90.00
With the nearest neighbours (Å) after each atom.
Element x y z (fractional)
Ba (0.0000, 0.0000, 0.0000)  4 Ba 3.76, 8 Er 3.99
La (0.0000, 0.0000, 0.5000)  8 Er 3.57, 4 La 3.76
Er (0.5000, 0.5000, 0.2778)  4 La 3.57, 4 Er 3.76, 4 Ba 3.99
Er (0.5000, 0.5000, 0.7222)  4 La 3.57, 4 Er 3.76, 4 Ba 3.99

## Properties
- Energy: -15.29 eV per cell
- ΔE_f: 0.17 eV/atom

---

[5]
This record from Alexandria via LeMat-Bulk describes CaCrCo2 after structural relaxation. The functional is PBE-GGA.

a b c (Å): 3.0461 4.6071 9.2250
angles (deg): 90.00 90.00 90.00
With the nearest neighbours (Å) after each atom.
Element x y z (fractional)
Ca (0.0000, 0.0000, 0.0000)  8 Co 2.78-3.12, 4 Cr 3.02-3.06, 2 Ca 3.05
Ca (0.5000, 0.5000, 0.5000)  8 Co 2.78-3.12, 4 Cr 3.02-3.06, 2 Ca 3.05
Cr (0.0000, 0.5000, 0.2119)  6 Co 2.76-2.82, 4 Ca 3.02-3.06, 2 Cr 3.05
Cr (0.5000, 0.0000, 0.7119)  6 Co 2.76-2.82, 4 Ca 3.02-3.06, 2 Cr 3.05
Co (0.0000, 0.0000, 0.4626)  2 Co 2.32
Co (0.0000, 0.5000, 0.7724)  2 Co 2.32
Co (0.5000, 0.0000, 0.2724)  2 Co 2.32
Co (0.5000, 0.5000, 0.9626)  2 Co 2.32

## Properties
- Energy: -47.20 eV per cell
- ΔE_f: 0.56 eV/atom
- Excess energy over the best structure of this formula in the dataset: 288 meV per atom

---

[6]
This record from Alexandria via LeMat-Bulk describes Mg2TaAg after structural relaxation. The functional is PBE-GGA.

a b c (Å): 2.9676 2.9676 30.3696
angles (deg): 90.00 90.00 120.00
With the nearest neighbours (Å) after each atom.
Element x y z (fractional)
Mg (0.0000, 0.0000, 0.0000)  9 Mg 2.97-3.24, 3 Ta 3.06
Mg (0.0000, 0.0000, 0.2428)  3 Ag 2.93, 9 Mg 2.97-3.24
Mg (0.3333, 0.6667, 0.6667)  9 Mg 2.97-3.24, 3 Ta 3.06
Mg (0.3333, 0.6667, 0.9095)  3 Ag 2.93, 9 Mg 2.97-3.24
Mg (0.6667, 0.3333, 0.3333)  9 Mg 2.97-3.24, 3 Ta 3.06
Mg (0.6667, 0.3333, 0.5761)  3 Ag 2.93, 9 Mg 2.97-3.24
Ta (0.0000, 0.0000, 0.7501)  6 Ta 2.97, 3 Ag 3.00, 3 Mg 3.06
Ta (0.3333, 0.6667, 0.4168)  6 Ta 2.97, 3 Ag 3.00, 3 Mg 3.06
Ta (0.6667, 0.3333, 0.0835)  6 Ta 2.97, 3 Ag 3.00, 3 Mg 3.06
Ag (0.0000, 0.0000, 0.4979)  3 Mg 2.93, 6 Ag 2.97, 3 Ta 3.00
Ag (0.3333, 0.6667, 0.1645)  3 Mg 2.93, 6 Ag 2.97, 3 Ta 3.00
Ag (0.6667, 0.3333, 0.8312)  3 Mg 2.93, 6 Ag 2.97, 3 Ta 3.00

## Properties
- Energy: -51.67 eV per cell
- ΔE_f: 0.17 eV/atom
- Excess energy over the best structure of this formula in the dataset: 107 meV per atom